Entry 1:
Crystalline Pu2MgPd5 at its relaxed geometry. Source: Alexandria, functional PBE.

symmetry	Imm2 (44)
crystal system	orthorhombic
formation energy	-47	kJ/mol of atoms

Lattice parameters (Å, degrees): 6.203 6.599 5.832 124.48 122.11 90.00
Last column: magnetic moment on the atom in μB.
Positions (direct):
Pu: 0.243 0.743 0.486  5.08
Pu: 0.725 0.225 0.450  5.13
Mg: 0.140 0.140 0.280  0.00
Pd: 0.706 0.262 0.954  -0.03
Pd: 0.248 0.262 0.953  -0.03
Pd: 0.706 0.692 0.954  -0.03
Pd: 0.248 0.692 0.954  -0.03
Pd: 0.761 0.762 0.523  -0.02

---

Entry 2:
Crystalline PuMgPd2 at its relaxed geometry. Source: Alexandria, functional PBE.

symmetry	P4/mmm (123)
crystal system	tetragonal
formation energy	-47	kJ/mol of atoms

Lattice parameters (Å, degrees): 3.131 4.974 4.974 90.00 90.00 90.00
Last column: magnetic moment on the atom in μB.
Positions (direct):
Mg: 0.500 0.500 0.500  -0.01
Pd: 0.000 0.000 0.500  0.00
Pd: 0.000 0.500 0.000  0.00
Pu: 0.500 0.000 0.000  5.26